Computed, not measured: crystalline RbDyBO4 at its relaxed geometry at the PBE-GGA level of DFT.

```
data_RbDyBO4
_chemical_formula_sum 'Rb2 Dy2 B2 O8'
_symmetry_space_group_name_H-M 'P 1 21/m 1'
_symmetry_Int_Tables_number 11
_symmetry_space_group_name_Hall '-P 2yb'
_cell_length_a 5.2950
_cell_length_b 5.5088
_cell_length_c 7.6172
_cell_angle_alpha 90.00
_cell_angle_beta 108.80
_cell_angle_gamma 90.00
loop_
_atom_site_label
_atom_site_type_symbol
_atom_site_fract_x
_atom_site_fract_y
_atom_site_fract_z
Rb1 Rb 0.2135 0.2500 0.4330
Dy1 Dy 0.2767 0.2500 0.9583
B1 B 0.2805 0.7500 0.1600
O1 O 0.1072 0.7500 0.9601
O2 O 0.1144 0.7500 0.2808
O3 O 0.4546 0.5325 0.1799
```

Raw formation energy, eV per atom: -2.43


Computed, not measured: crystalline Rb3DyB2O6 at its relaxed geometry at the PBE-GGA level of DFT.

```
data_Rb3DyB2O6
_chemical_formula_sum 'Rb3 Dy1 B2 O6'
_symmetry_space_group_name_H-M 'P -3 m 1'
_symmetry_Int_Tables_number 164
_symmetry_space_group_name_Hall '-P 3 2"'
_cell_length_a 5.6569
_cell_length_b 5.6569
_cell_length_c 7.2090
_cell_angle_alpha 90.00
_cell_angle_beta 90.00
_cell_angle_gamma 120.00
loop_
_atom_site_label
_atom_site_type_symbol
_atom_site_fract_x
_atom_site_fract_y
_atom_site_fract_z
Rb1 Rb 0.0000 0.0000 0.0000
Rb2 Rb 0.3333 0.6667 0.7498
Dy1 Dy 0.0000 0.0000 0.5000
B1 B 0.3333 0.6667 0.3129
O1 O 0.1904 0.3809 0.3130
```

Raw formation energy, eV per atom: -2.45


Computed, not measured: crystalline Rb2DyBO4 at its relaxed geometry at the PBE-GGA level of DFT.

```
data_Rb2DyBO4
_chemical_formula_sum 'Rb16 Dy8 B8 O32'
_symmetry_space_group_name_H-M 'F d d d'
_symmetry_Int_Tables_number 70
_cell_length_a 5.0890
_cell_length_b 11.7063
_cell_length_c 23.3391
_cell_angle_alpha 90.00
_cell_angle_beta 90.00
_cell_angle_gamma 90.00
loop_
_symmetry_equiv_pos_as_xyz
'x,y,z'
'-x,-y,-z'
'-x+1/4,-y+1/4,z'
'x+1/4,y+1/4,-z'
'x,-y+1/4,-z+1/4'
'-x,y+1/4,z+1/4'
'-x+1/4,y,-z+1/4'
'x+1/4,-y,z+1/4'
'x,y+1/2,z+1/2'
'-x,-y+1/2,-z+1/2'
'-x+1/4,-y+3/4,z+1/2'
'x+1/4,y+3/4,-z+1/2'
'x,-y+3/4,-z+3/4'
'-x,y+3/4,z+3/4'
'-x+1/4,y+1/2,-z+3/4'
'x+1/4,-y+1/2,z+3/4'
'x+1/2,y,z+1/2'
'-x+1/2,-y,-z+1/2'
'-x+3/4,-y+1/4,z+1/2'
'x+3/4,y+1/4,-z+1/2'
'x+1/2,-y+1/4,-z+3/4'
'-x+1/2,y+1/4,z+3/4'
'-x+3/4,y,-z+3/4'
'x+3/4,-y,z+3/4'
'x+1/2,y+1/2,z'
'-x+1/2,-y+1/2,-z'
'-x+3/4,-y+3/4,z'
'x+3/4,y+3/4,-z'
'x+1/2,-y+3/4,-z+1/4'
'-x+1/2,y+3/4,z+1/4'
'-x+3/4,y+1/2,-z+1/4'
'x+3/4,-y+1/2,z+1/4'
loop_
_atom_site_label
_atom_site_type_symbol
_atom_site_fract_x
_atom_site_fract_y
_atom_site_fract_z
Rb1 Rb 0.1250 0.1250 0.3051
Dy1 Dy 0.1250 0.1250 0.1250
B1 B 0.1250 0.1250 0.6250
O1 O 0.0439 0.2964 0.8373
```

Raw formation energy, eV per atom: -2.07


Computed, not measured: crystalline SmDy3B4O12 at its relaxed geometry at the PBE-GGA level of DFT.

```
data_SmDy3B4O12
_chemical_formula_sum 'Sm3 Dy9 B12 O36'
_symmetry_space_group_name_H-M 'R 3 2'
_symmetry_Int_Tables_number 155
_symmetry_space_group_name_Hall 'R 3 2"'
_cell_length_a 10.1565
_cell_length_b 10.1565
_cell_length_c 8.5345
_cell_angle_alpha 90.00
_cell_angle_beta 90.00
_cell_angle_gamma 120.00
loop_
_atom_site_label
_atom_site_type_symbol
_atom_site_fract_x
_atom_site_fract_y
_atom_site_fract_z
Sm1 Sm 0.0000 0.0000 0.0000
Dy1 Dy 0.0000 0.5337 0.0000
B1 B 0.0000 0.0000 0.5000
B2 B 0.0000 0.4656 0.5000
O1 O 0.0000 0.6012 0.5000
O2 O 0.0000 0.8643 0.5000
O3 O 0.0024 0.1962 0.1691
```

Raw formation energy, eV per atom: -3.07


Which value of raw formation energy does entry 3 give?
-2.07 eV per atom


Copy entry 4 word for word.
Computed, not measured: crystalline SmDy3B4O12 at its relaxed geometry at the PBE-GGA level of DFT.

```
data_SmDy3B4O12
_chemical_formula_sum 'Sm3 Dy9 B12 O36'
_symmetry_space_group_name_H-M 'R 3 2'
_symmetry_Int_Tables_number 155
_symmetry_space_group_name_Hall 'R 3 2"'
_cell_length_a 10.1565
_cell_length_b 10.1565
_cell_length_c 8.5345
_cell_angle_alpha 90.00
_cell_angle_beta 90.00
_cell_angle_gamma 120.00
loop_
_atom_site_label
_atom_site_type_symbol
_atom_site_fract_x
_atom_site_fract_y
_atom_site_fract_z
Sm1 Sm 0.0000 0.0000 0.0000
Dy1 Dy 0.0000 0.5337 0.0000
B1 B 0.0000 0.0000 0.5000
B2 B 0.0000 0.4656 0.5000
O1 O 0.0000 0.6012 0.5000
O2 O 0.0000 0.8643 0.5000
O3 O 0.0024 0.1962 0.1691
```

Raw formation energy, eV per atom: -3.07


Repeat the second record exactly.
Computed, not measured: crystalline Rb3DyB2O6 at its relaxed geometry at the PBE-GGA level of DFT.

```
data_Rb3DyB2O6
_chemical_formula_sum 'Rb3 Dy1 B2 O6'
_symmetry_space_group_name_H-M 'P -3 m 1'
_symmetry_Int_Tables_number 164
_symmetry_space_group_name_Hall '-P 3 2"'
_cell_length_a 5.6569
_cell_length_b 5.6569
_cell_length_c 7.2090
_cell_angle_alpha 90.00
_cell_angle_beta 90.00
_cell_angle_gamma 120.00
loop_
_atom_site_label
_atom_site_type_symbol
_atom_site_fract_x
_atom_site_fract_y
_atom_site_fract_z
Rb1 Rb 0.0000 0.0000 0.0000
Rb2 Rb 0.3333 0.6667 0.7498
Dy1 Dy 0.0000 0.0000 0.5000
B1 B 0.3333 0.6667 0.3129
O1 O 0.1904 0.3809 0.3130
```

Raw formation energy, eV per atom: -2.45